VASP calculation (PBE) on an optimized crystal structure of Hf2CoHCl.

Electronic total energy in eV per atom: -6.517
Space-group type: P4/mmm

```
data_Hf2CoHCl
_cell_length_a 4.7040
_cell_length_b 3.1552
_cell_length_c 4.7040
_cell_angle_alpha 90.00
_cell_angle_beta 90.00
_cell_angle_gamma 90.00
_symmetry_space_group_name_H-M 'P 1'
_symmetry_Int_Tables_number 1
loop_
_symmetry_equiv_pos_as_xyz
'x,y,z'
loop_
_atom_site_label
_atom_site_type_symbol
_atom_site_fract_x
_atom_site_fract_y
_atom_site_fract_z
_atom_site_occupancy
Co1 Co 0.0000 0.5000 0.0000 1
Hf1 Hf 0.5000 0.0000 0.0000 1
Hf2 Hf 0.0000 0.0000 0.5000 1
H1 H 0.0000 0.0000 0.0000 1
Cl1 Cl 0.5000 0.5000 0.5000 1
```


VASP calculation (PBE) on an optimized crystal structure of NaYHo2.

Energy relative to the elements in eV per atom: 0.14
Space-group type: P4/mmm
Distance to the lowest polymorph of the same formula in eV/atom: 0.000

```
data_NaYHo2
_cell_length_a 3.5275
_cell_length_b 3.5275
_cell_length_c 10.5236
_cell_angle_alpha 90.00
_cell_angle_beta 90.00
_cell_angle_gamma 90.00
_symmetry_space_group_name_H-M 'P 1'
_symmetry_Int_Tables_number 1
loop_
_symmetry_equiv_pos_as_xyz
'x,y,z'
loop_
_atom_site_label
_atom_site_type_symbol
_atom_site_fract_x
_atom_site_fract_y
_atom_site_fract_z
_atom_site_occupancy
Ho1 Ho 0.0000 0.0000 0.2312 1
Ho2 Ho 0.0000 0.0000 0.7688 1
Y1 Y 0.5000 0.5000 0.0000 1
Na1 Na 0.5000 0.5000 0.5000 1
```


VASP calculation (PBE) on an optimized crystal structure of Cs2RbNpCl6.

Space-group type: P2_1/c
E_form (uncorrected) in meV/atom: -1929

```
data_Cs2RbNpCl6
_cell_length_a 8.0436
_cell_length_b 8.4482
_cell_length_c 11.5354
_cell_angle_alpha 90.00
_cell_angle_beta 89.97
_cell_angle_gamma 90.00
_symmetry_space_group_name_H-M 'P 1'
_symmetry_Int_Tables_number 1
loop_
_symmetry_equiv_pos_as_xyz
'x,y,z'
loop_
_atom_site_label
_atom_site_type_symbol
_atom_site_fract_x
_atom_site_fract_y
_atom_site_fract_z
_atom_site_occupancy
Cl1 Cl 0.4043 0.9625 0.7268 1
Cl2 Cl 0.2265 0.1837 0.4524 1
Cl3 Cl 0.9043 0.5375 0.2268 1
Cl4 Cl 0.2735 0.6837 0.0476 1
Cl5 Cl 0.7735 0.8163 0.5476 1
Cl6 Cl 0.0957 0.4625 0.7732 1
Cl7 Cl 0.3251 0.7289 0.4474 1
Cl8 Cl 0.1749 0.2289 0.0526 1
Cl9 Cl 0.7265 0.3163 0.9524 1
Cl10 Cl 0.5957 0.0375 0.2732 1
Cl11 Cl 0.8251 0.7711 0.9474 1
Cl12 Cl 0.6749 0.2711 0.5526 1
Np1 Np 0.5000 0.0000 0.5000 1
Np2 Np 0.0000 0.5000 0.0000 1
Cs1 Cs 0.5192 0.5608 0.7491 1
Cs2 Cs 0.9808 0.0608 0.7509 1
Cs3 Cs 0.4808 0.4392 0.2509 1
Cs4 Cs 0.0192 0.9392 0.2491 1
Rb1 Rb 0.5000 0.0000 0.0000 1
Rb2 Rb 0.0000 0.5000 0.5000 1
```


VASP calculation (PBE) on an optimized crystal structure of ThGa8Rh4.

Energy relative to the elements in eV per atom: -0.58
Space-group type: I4/mmm

```
data_ThGa8Rh4
_cell_length_a 5.5342
_cell_length_b 6.7959
_cell_length_c 6.7959
_cell_angle_alpha 80.46
_cell_angle_beta 65.97
_cell_angle_gamma 65.97
_symmetry_space_group_name_H-M 'P 1'
_symmetry_Int_Tables_number 1
loop_
_symmetry_equiv_pos_as_xyz
'x,y,z'
loop_
_atom_site_label
_atom_site_type_symbol
_atom_site_fract_x
_atom_site_fract_y
_atom_site_fract_z
_atom_site_occupancy
Ga1 Ga 0.7196 0.7804 0.7804 1
Ga2 Ga 0.5000 0.2196 0.7804 1
Ga3 Ga 0.0000 0.6500 0.3500 1
Ga4 Ga 0.6500 0.3500 0.3500 1
Ga5 Ga 0.0000 0.3500 0.6500 1
Ga6 Ga 0.3500 0.6500 0.6500 1
Ga7 Ga 0.2804 0.2196 0.2196 1
Ga8 Ga 0.5000 0.7804 0.2196 1
Rh1 Rh 0.0000 0.0000 0.5000 1
Rh2 Rh 0.5000 0.0000 0.5000 1
Rh3 Rh 0.5000 0.5000 0.0000 1
Rh4 Rh 0.0000 0.5000 0.0000 1
Th1 Th 0.0000 0.0000 0.0000 1
```


VASP calculation (PBE) on an optimized crystal structure of Tm2Ni2Ge3.

Energy relative to the elements in eV per atom: -0.60
Space-group type: C2/m
Distance to the lowest polymorph of the same formula in eV/atom: 0.119

```
data_Tm2Ni2Ge3
_cell_length_a 4.0091
_cell_length_b 5.3749
_cell_length_c 6.5742
_cell_angle_alpha 112.08
_cell_angle_beta 90.00
_cell_angle_gamma 111.90
_symmetry_space_group_name_H-M 'P 1'
_symmetry_Int_Tables_number 1
loop_
_symmetry_equiv_pos_as_xyz
'x,y,z'
loop_
_atom_site_label
_atom_site_type_symbol
_atom_site_fract_x
_atom_site_fract_y
_atom_site_fract_z
_atom_site_occupancy
Ni1 Ni 0.1418 0.2836 0.2398 1
Ni2 Ni 0.8582 0.7164 0.7602 1
Ge1 Ge 0.6179 0.2358 0.4474 1
Ge2 Ge 0.5000 0.0000 0.0000 1
Ge3 Ge 0.3821 0.7642 0.5526 1
Tm1 Tm 0.8515 0.7029 0.2155 1
Tm2 Tm 0.1485 0.2971 0.7845 1
```


VASP calculation (PBE) on an optimized crystal structure of HgTeF2.

Space-group type: Fm-3m
E_form (uncorrected) in meV/atom: -585
Distance to the lowest polymorph of the same formula in eV/atom: 0.537

```
data_HgTeF2
_cell_length_a 4.5948
_cell_length_b 4.5948
_cell_length_c 4.5948
_cell_angle_alpha 60.00
_cell_angle_beta 60.00
_cell_angle_gamma 60.00
_symmetry_space_group_name_H-M 'P 1'
_symmetry_Int_Tables_number 1
loop_
_symmetry_equiv_pos_as_xyz
'x,y,z'
loop_
_atom_site_label
_atom_site_type_symbol
_atom_site_fract_x
_atom_site_fract_y
_atom_site_fract_z
_atom_site_occupancy
F1 F 0.7500 0.7500 0.7500 1
F2 F 0.2500 0.2500 0.2500 1
Hg1 Hg 0.5000 0.5000 0.5000 1
Te1 Te 0.0000 0.0000 0.0000 1
```